Entry 1:
Ti12As5C2: optimized geometry, GGA-PBE.

Properties
VASP energy: -7.8446 eV/atom
total magnetization: 0.001 μB/f.u.
E_form: -664 meV/atom

Lattice parameters (Å, degrees): 14.050 6.274 7.615 90.00 107.18 90.00
Space group C2/m (No. 12)
One atom of each set of equivalent atoms:
Ti (0.002, 0.000, 0.176) (multiplicity 4)
Ti (0.007, 0.500, 0.200) (multiplicity 4)
Ti (0.141, 0.257, 0.557) (multiplicity 8)
Ti (0.155, 0.238, 0.082) (multiplicity 8)
As (0.000, 0.000, 0.500) (multiplicity 2)
As (0.185, 0.500, 0.840) (multiplicity 4)
As (0.207, 0.500, 0.352) (multiplicity 4)
C (0.000, 0.262, 0.000) (multiplicity 4)

Entry 2:
Li2PuHg2Sb2: optimized geometry, GGA-PBE.

Properties
energy relative to the elements, uncorrected: -337 meV/atom
VASP energy: -4.1957 eV/atom
total magnetization: 5.963 μB/f.u.

Lattice parameters (Å, degrees): 4.7451 4.7451 25.4483 90.00 90.00 120.00
Space group R-3m (No. 166, hexagonal axes)
One atom of each set of equivalent atoms:
Li (0.0000, 0.0000, 0.1426) (multiplicity 6)
Pu (0.0000, 0.0000, 0.0000) (multiplicity 3)
Hg (0.0000, 0.0000, 0.4442) (multiplicity 6)
Sb (0.0000, 0.0000, 0.2669) (multiplicity 6)

Entry 3:
Li2RePb: optimized geometry, GGA-PBE.

Properties
VASP energy: -4.5127 eV/atom
total magnetization: 0.499 μB/f.u.
E_form: 483 meV/atom

Lattice parameters (Å, degrees): 3.944 3.944 8.329 90.00 90.00 90.00
Space group I-4m2 (No. 119)
One atom of each set of equivalent atoms:
Li (0.000, 0.000, 0.000) (multiplicity 2)
Li (0.000, 0.500, 0.250) (multiplicity 2)
Re (0.000, 0.000, 0.500) (multiplicity 2)
Pb (0.000, 0.500, 0.750) (multiplicity 2)

Entry 4:
TlCuMo3: optimized geometry, GGA-PBE.

Properties
VASP energy: -6.2863 eV/atom
total magnetization: 0.000 μB/f.u.
E_form: 1505 meV/atom

Lattice parameters (Å, degrees): 4.571 4.571 4.571 90.00 90.00 90.00
Space group Pm-3m (No. 221)
One atom of each set of equivalent atoms:
Tl (0.000, 0.000, 0.000) (multiplicity 1)
Cu (0.500, 0.500, 0.500) (multiplicity 1)
Mo (0.000, 0.500, 0.500) (multiplicity 3)